# ZrRe2Pd

ZrRe2Pd after structural relaxation (GGA-PBE, the Open Quantum Materials Database).

Output
- VASP energy: -9.6294 eV per atom
- Crystal system: cubic
- Magnetization: 0.0 μB/f.u.

Cell: 6.4126 6.4126 6.4126 Å, 90.00 90.00 90.00°
Space group F-43m (No. 216)
Inequivalent atoms, fractional coordinates:
Zr 0.0000 0.0000 0.0000 [4 per cell]
Re 0.0000 0.0000 0.5000 [4 per cell]
Re 0.2500 0.2500 0.2500 [4 per cell]
Pd 0.2500 0.2500 0.7500 [4 per cell]


# HgAsNO

HgAsNO after structural relaxation (GGA-PBE, the Open Quantum Materials Database).

Output
- Crystal system: orthorhombic
- Relative energy among the computed polymorphs: 0 meV/atom

Cell: 6.9128 6.7763 5.4654 Å, 90.00 90.00 90.00°
Space group Pca2_1 (No. 29)
Inequivalent atoms, fractional coordinates:
Hg 0.1423 0.1019 0.0000 [4 per cell]
As 0.1005 0.6350 0.9998 [4 per cell]
N 0.0483 0.1567 0.4052 [4 per cell]
O 0.0332 0.4273 0.7946 [4 per cell]


# TbSm

TbSm after structural relaxation (GGA-PBE, the Open Quantum Materials Database).

Output
- Crystal system: hexagonal
- Magnetization: 0.0 μB/f.u.
- Relative energy among the computed polymorphs: 0 meV/atom

Cell: 3.6237 3.6237 5.8096 Å, 90.00 90.00 120.00°
Space group P-6m2 (No. 187)
Inequivalent atoms, fractional coordinates:
Tb 0.0000 0.0000 0.0000 [1 per cell]
Sm 0.3333 0.6667 0.5000 [1 per cell]


# LaBeNbIr2

LaBeNbIr2 after structural relaxation (GGA-PBE, the Open Quantum Materials Database).

Output
- VASP energy: -7.6068 eV per atom
- Crystal system: tetragonal
- Magnetization: 0.3 μB/f.u.

Cell: 4.2158 4.2158 10.4335 Å, 90.00 90.00 90.00°
Space group I4mm (No. 107)
Inequivalent atoms, fractional coordinates:
La 0.0000 0.0000 0.0000 [2 per cell]
Be 0.0000 0.0000 0.6267 [2 per cell]
Nb 0.0000 0.0000 0.3686 [2 per cell]
Ir 0.0000 0.5000 0.2296 [4 per cell]


# NdH2

NdH2 after structural relaxation (GGA-PBE, the Open Quantum Materials Database).

Output
- VASP energy: -3.6657 eV per atom
- Crystal system: cubic
- Magnetization: 1.0 μB/f.u.

Cell: 9.6989 9.6989 9.6989 Å, 90.00 90.00 90.00°
Space group Fd-3m (No. 227, origin choice 2)
Inequivalent atoms, fractional coordinates:
Nd 0.1250 0.1250 0.1250 [8 per cell]
H 0.0000 0.0000 0.0000 [16 per cell]


# Tl2CuAgS4

Tl2CuAgS4 after structural relaxation (GGA-PBE, the Open Quantum Materials Database).

Output
- VASP energy: -3.6592 eV per atom
- Crystal system: tetragonal

Cell: 5.7834 5.7834 11.7461 Å, 90.00 90.00 90.00°
Space group I-4 (No. 82)
Inequivalent atoms, fractional coordinates:
Tl 0.0000 0.0000 0.0000 [2 per cell]
Tl 0.0000 0.5000 0.2500 [2 per cell]
Cu 0.0000 0.5000 0.7500 [2 per cell]
Ag 0.0000 0.0000 0.5000 [2 per cell]
S 0.2227 0.2691 0.6331 [8 per cell]


# K2LiCuF6

K2LiCuF6 after structural relaxation (GGA-PBE, the Open Quantum Materials Database).

Output
- Crystal system: tetragonal
- Relative energy among the computed polymorphs: 4 meV/atom

Cell: 5.4964 5.4964 7.7764 Å, 90.00 90.00 90.00°
Space group I4/m (No. 87)
Inequivalent atoms, fractional coordinates:
K 0.0000 0.5000 0.2500 [4 per cell]
Li 0.0000 0.0000 0.0000 [2 per cell]
Cu 0.0000 0.0000 0.5000 [2 per cell]
F 0.0000 0.0000 0.2538 [4 per cell]
F 0.2446 0.7516 0.5000 [8 per cell]


# TlFeAgTe2S

TlFeAgTe2S after structural relaxation (GGA-PBE, the Open Quantum Materials Database).

Output
- VASP energy: -3.9578 eV per atom
- Crystal system: orthorhombic
- Magnetization: 3.0 μB/f.u.

Cell: 3.9981 13.4701 10.8451 Å, 90.00 90.00 90.00°
Space group Cmcm (No. 63)
Inequivalent atoms, fractional coordinates:
Tl 0.0000 0.2480 0.2500 [4 per cell]
Fe 0.0000 0.5000 0.0000 [4 per cell]
Ag 0.0000 0.0654 0.7500 [4 per cell]
Te 0.0000 0.1297 0.5098 [8 per cell]
S 0.0000 0.4495 0.7500 [4 per cell]